# BaHfSiW2 | the Alexandria database | GGA-PBE | optimized geometry
# Formation energy (no corrections): 3.34 eV per atom
# Fermi-level density of states: 1.07 states/eV per atom
# ρ: 9.05 g/cm³
# Electronic total energy: -5.30 eV per atom
# E above lowest polymorph: 1.05 eV per formula unit
data_BaHfSiW2
_cell_length_a 4.9878
_cell_length_b 5.2492
_cell_length_c 4.9878
_cell_angle_alpha 90.00
_cell_angle_beta 90.00
_cell_angle_gamma 90.00
_space_group_name_H-M_alt 'P 1'
_space_group_IT_number 1
loop_
_space_group_symop_operation_xyz
'x,y,z'
loop_
_atom_site_label
_atom_site_fract_x
_atom_site_fract_y
_atom_site_fract_z
Hf1 0.0000 0.5000 0.0000
W1 0.5000 0.0000 0.0000
W2 0.0000 0.0000 0.5000
Si1 0.5000 0.5000 0.5000
Ba1 0.0000 0.0000 0.0000